TbInHgTe3 after structural relaxation. Source: OQMD via LeMat-Bulk, functional PBE-GGA.

Structure (CIF):
```
data_TbInHgTe3
_symmetry_space_group_name_H-M 'P 1'
_symmetry_Int_Tables_number 1
_cell_length_a 8.898
_cell_length_b 4.634
_cell_length_c 18.626
_cell_angle_alpha 90.00
_cell_angle_beta 90.00
_cell_angle_gamma 90.00
loop_
_symmetry_equiv_pos_as_xyz
'x,y,z'
loop_
_atom_site_label
_atom_site_fract_x
_atom_site_fract_y
_atom_site_fract_z
Tb1 0.723 0.750 0.539
Tb2 0.277 0.250 0.461
Tb3 0.777 0.250 0.039
Tb4 0.223 0.750 0.961
Te1 0.493 0.250 0.927
Te2 0.626 0.250 0.440
Te3 0.705 0.750 0.707
Te4 0.007 0.750 0.427
Te5 0.874 0.750 0.940
Te6 0.205 0.750 0.793
Te7 0.795 0.250 0.207
Te8 0.507 0.750 0.073
Te9 0.993 0.250 0.573
Te10 0.374 0.750 0.560
Te11 0.295 0.250 0.293
Te12 0.126 0.250 0.060
Hg1 0.464 0.250 0.164
Hg2 0.536 0.750 0.836
Hg3 0.036 0.750 0.664
Hg4 0.964 0.250 0.336
In1 0.087 0.750 0.194
In2 0.587 0.750 0.306
In3 0.413 0.250 0.694
In4 0.913 0.250 0.806
```

Summary:
- VASP energy (eV for the cell shown) = -82.5
- total magnetic moment (μB per formula unit) = 0.0
- space group = No. 62